[1]
First-principles (PBE-GGA) data for a relaxed Dy3ErPt12 crystal, as listed in the Alexandria database.

Output
For the final energy, the calculation gives -0.494 Ry per atom. The energy of formation from the pure elements is -1.04 eV per atom. As for the space group: P4/mmm, No. 123.

Structure (POSCAR):
```
Dy3ErPt12
1.0
-0.147 2.937 -2.887
-3.499 -1.613 -1.463
-8.654 9.555 10.161
Dy Er Pt
3 1 12
Cartesian
-2.159 2.384 2.535 Dy
-4.327 4.778 5.081 Dy
-6.495 7.172 7.626 Dy
0.000 0.000 0.000 Er
-1.823 0.662 -2.175 Pt
-3.981 3.045 0.358 Pt
-6.150 5.440 2.906 Pt
-8.319 7.835 5.453 Pt
-1.146 2.653 -0.184 Pt
-3.316 5.049 2.364 Pt
-5.485 7.444 4.911 Pt
-7.655 9.840 7.458 Pt
-2.822 0.378 0.528 Pt
-4.992 2.774 3.076 Pt
-7.161 5.169 5.623 Pt
-9.331 7.565 8.170 Pt
```


[2]
First-principles (PBE-GGA) data for a relaxed BeZnMo2 crystal, as listed in the Alexandria database.

Output
For the final energy, the calculation gives -0.478 Ry per atom. The energy of formation from the pure elements is 0.16 eV per atom. The calculation puts the energy above the most stable polymorph in this dataset at 0.073 eV per atom. As for the space group: C2/m, No. 12.

Structure (POSCAR):
```
BeZnMo2
1.0
-2.370 4.997 -0.191
0.560 -2.449 -4.129
-2.589 -0.230 -0.443
Be Mo Zn
1 2 1
Cartesian
-0.905 1.274 -2.160 Be
0.000 0.000 0.000 Mo
-2.479 2.383 -0.317 Mo
-1.014 -1.340 -2.286 Zn
```


[3]
First-principles (PBE-GGA) data for a relaxed NaTiP3 crystal, as listed in the Alexandria database.

Output
For the final energy, the calculation gives -0.275 Ry per atom. The energy of formation from the pure elements is 1.34 eV per atom. The calculation puts the energy above the most stable polymorph in this dataset at 1.430 eV per atom. As for the space group: Pm-3m, No. 221.

Structure (POSCAR):
```
NaTiP3
1.0
4.678 0.000 0.000
0.000 4.678 0.000
0.000 0.000 4.678
P Na Ti
3 1 1
Cartesian
0.000 2.339 0.000 P
0.000 0.000 2.339 P
2.339 0.000 0.000 P
0.000 0.000 0.000 Na
2.339 2.339 2.339 Ti
```


[4]
First-principles (PBE-GGA) data for a relaxed NaSnIr2S crystal, as listed in the Alexandria database.

Output
For the final energy, the calculation gives -0.362 Ry per atom. The uncorrected formation energy is 2.56 eV per formula unit. As for the space group: P4/mmm, No. 123.

Structure (POSCAR):
```
NaSnIr2S
1.0
-0.818 -3.862 2.044
3.194 0.891 2.961
-3.610 2.437 3.161
Na S Ir Sn
1 1 2 1
Cartesian
-0.617 -0.267 4.083 Na
0.000 0.000 0.000 S
1.597 0.445 1.480 Ir
-0.409 -1.931 1.022 Ir
-1.805 1.219 1.580 Sn
```


[5]
First-principles (PBE-GGA) data for a relaxed Ca3Hf3NpN8 crystal, as listed in the Alexandria database.

Output
For the final energy, the calculation gives -0.670 Ry per atom. The uncorrected formation energy is -21.39 eV per formula unit. As for the space group: R-3m, No. 166.

Structure (POSCAR):
```
Ca3Hf3NpN8
1.0
-0.939 -0.648 -6.494
-0.273 -5.298 3.916
-5.071 4.568 0.277
Ca Hf Np N
3 3 1 8
Cartesian
0.000 0.000 0.000 Ca
-0.136 -2.649 1.958 Ca
-0.606 -2.973 -1.289 Ca
-3.005 1.960 -3.109 Hf
-3.141 -0.689 -1.151 Hf
-2.672 -0.365 2.096 Hf
-2.535 2.284 0.138 Np
-1.843 -1.639 0.430 N
-4.439 0.261 -2.732 N
-2.412 -2.010 -2.798 N
-3.870 0.632 0.496 N
-2.271 0.724 -4.819 N
-4.011 -2.102 2.517 N
-1.787 1.059 -1.467 N
-4.495 -2.437 -0.834 N
```


[6]
First-principles (PBE-GGA) data for a relaxed Ba5SmSe6 crystal, as listed in the Alexandria database.

Output
For the final energy, the calculation gives -0.362 Ry per atom. The uncorrected formation energy is -23.80 eV per formula unit. As for the space group: C2/m, No. 12.

Structure (POSCAR):
```
Ba5SmSe6
1.0
-6.677 -1.880 -3.959
1.899 -3.302 -7.037
0.968 -7.914 -0.574
Ba Sm Se
5 1 6
Cartesian
-2.377 -6.722 -3.556 Ba
0.956 -3.729 -2.542 Ba
-2.389 -2.591 -5.498 Ba
1.911 -7.488 -5.069 Ba
-1.433 -6.374 -8.014 Ba
0.000 0.000 0.000 Sm
-4.661 -4.151 -3.757 Se
-0.105 -4.916 -5.412 Se
-1.147 -1.204 -2.554 Se
-3.631 -3.979 -8.442 Se
-3.705 -8.181 -6.158 Se
0.851 -8.946 -7.813 Se
```


Question: Look up the final energy of the fifth one.
Answer: -0.670 Ry per atom


Repeat the second record exactly.
First-principles (PBE-GGA) data for a relaxed BeZnMo2 crystal, as listed in the Alexandria database.

Output
For the final energy, the calculation gives -0.478 Ry per atom. The energy of formation from the pure elements is 0.16 eV per atom. The calculation puts the energy above the most stable polymorph in this dataset at 0.073 eV per atom. As for the space group: C2/m, No. 12.

Structure (POSCAR):
```
BeZnMo2
1.0
-2.370 4.997 -0.191
0.560 -2.449 -4.129
-2.589 -0.230 -0.443
Be Mo Zn
1 2 1
Cartesian
-0.905 1.274 -2.160 Be
0.000 0.000 0.000 Mo
-2.479 2.383 -0.317 Mo
-1.014 -1.340 -2.286 Zn
```


Question: What is the formula in the third record?
Answer: NaTiP3


Question: Which of these has the lowest final energy?
Answer: Ca3Hf3NpN8